1.
K2LaNi | PBE-GGA | relaxed Values from VASP.

The structure in Quantum ESPRESSO input format:
```
&SYSTEM
  ibrav = 0, nat = 4, ntyp = 3
/
ATOMIC_SPECIES
K 39.10 K.upf
La 138.91 La.upf
Ni 58.69 Ni.upf
CELL_PARAMETERS angstrom
5.652 0.000 0.000
2.826 4.895 0.000
2.826 1.632 4.615
ATOMIC_POSITIONS crystal
K 0.000 0.000 0.000
K 0.250 0.250 0.250
La 0.500 0.500 0.500
Ni 0.750 0.750 0.750
```

=====

2.
K2LaNi | PBE-GGA | relaxed Values from VASP.

The structure in Quantum ESPRESSO input format:
```
&SYSTEM
  ibrav = 0, nat = 4, ntyp = 3
/
ATOMIC_SPECIES
K 39.10 K.upf
La 138.91 La.upf
Ni 58.69 Ni.upf
CELL_PARAMETERS angstrom
6.721 0.000 0.000
0.000 4.502 -0.019
0.000 0.489 4.467
ATOMIC_POSITIONS crystal
K 0.000 0.971 0.971
K 0.000 0.529 0.529
La 0.500 0.250 0.250
Ni 0.500 0.750 0.750
```

=====

3.
KLaNi | PBE-GGA | relaxed Values from VASP.

The structure in Quantum ESPRESSO input format:
```
&SYSTEM
  ibrav = 0, nat = 12, ntyp = 3
/
ATOMIC_SPECIES
Ni 58.69 Ni.upf
K 39.10 K.upf
La 138.91 La.upf
CELL_PARAMETERS angstrom
-5.433 -3.817 -2.686
4.345 -5.642 -0.770
-1.705 -2.214 6.595
ATOMIC_POSITIONS crystal
Ni 0.750 0.250 0.250
Ni 0.250 0.750 0.250
Ni 0.250 0.250 0.750
Ni 0.750 0.750 0.750
K 0.000 0.000 0.000
K 0.500 0.500 0.000
K 0.500 0.000 0.500
K 0.000 0.500 0.500
La 0.500 0.000 0.000
La 0.000 0.500 0.000
La 0.000 0.000 0.500
La 0.500 0.500 0.500
```

=====

4.
KLaNi3 | PBE-GGA | relaxed Values from VASP.

The structure in Quantum ESPRESSO input format:
```
&SYSTEM
  ibrav = 0, nat = 5, ntyp = 3
/
ATOMIC_SPECIES
Ni 58.69 Ni.upf
K 39.10 K.upf
La 138.91 La.upf
CELL_PARAMETERS angstrom
-4.318 -0.226 -2.051
2.057 -0.114 -4.319
0.155 -4.779 0.200
ATOMIC_POSITIONS crystal
Ni 0.000 0.500 0.000
Ni 0.000 0.000 0.500
Ni 0.500 0.000 0.000
K 0.000 0.000 0.000
La 0.500 0.500 0.500
```

=====

5.
K2LaNi | PBE-GGA | relaxed Values from VASP.

The structure in Quantum ESPRESSO input format:
```
&SYSTEM
  ibrav = 0, nat = 4, ntyp = 3
/
ATOMIC_SPECIES
K 39.10 K.upf
La 138.91 La.upf
Ni 58.69 Ni.upf
CELL_PARAMETERS angstrom
-3.035 0.707 -1.871
-1.755 -5.936 0.602
-2.914 1.393 5.254
ATOMIC_POSITIONS crystal
K 0.000 0.000 0.982
K 0.000 0.000 0.518
La 0.500 0.500 0.250
Ni 0.500 0.500 0.750
```

=====

no.,ΔE_f (meV per atom),energy above the most stable polymorph in this dataset (meV per atom)
1,683.1,589
2,554.0,460
3,428.7,287
4,1284.1,302
5,739.1,645